Entry from the Open Quantum Materials Database: a relaxed structure of CsAlOs (PBE-GGA).

magnetic moment: 0.0 μB per cell
energy: -3.859 eV per atom
space-group type: F-43m

abc: 4.706 4.706 4.706
angles: 60.00 60.00 60.00
Positions (direct):
1 Al 0.250 0.250 0.250
2 Cs 0.750 0.750 0.750
3 Os 0.000 0.000 0.000

=====

Entry from the Open Quantum Materials Database: a relaxed structure of CsAlOs (PBE-GGA).

magnetic moment: 0.3 μB per cell
energy: -3.458 eV per atom
space-group type: F-43m

abc: 4.811 4.811 4.811
angles: 60.00 60.00 60.00
Positions (direct):
1 Al 0.000 0.000 0.000
2 Cs 0.250 0.250 0.250
3 Os 0.750 0.750 0.750

=====

Entry from the Open Quantum Materials Database: a relaxed structure of CsAlPd (PBE-GGA).

energy: -2.792 eV per atom
space-group type: F-43m

abc: 5.139 5.139 5.139
angles: 60.00 60.00 60.00
Positions (direct):
1 Al 0.250 0.250 0.250
2 Cs 0.750 0.750 0.750
3 Pd 0.000 0.000 0.000

=====

Entry from the Open Quantum Materials Database: a relaxed structure of CsAlPd (PBE-GGA).

energy: -2.185 eV per atom
space-group type: F-43m

abc: 5.405 5.405 5.405
angles: 60.00 60.00 60.00
Positions (direct):
1 Al 0.250 0.250 0.250
2 Cs 0.000 0.000 0.000
3 Pd 0.750 0.750 0.750

=====

Entry from the Open Quantum Materials Database: a relaxed structure of CsAlPdS3 (PBE-GGA).

energy: -4.458 eV per atom
space-group type: P2_1/m

abc: 8.931 3.549 10.571
angles: 90.00 111.82 90.00
Positions (direct):
1 Al 0.347 0.250 0.403
2 Al 0.653 0.750 0.597
3 Cs 0.792 0.250 0.268
4 Cs 0.208 0.750 0.732
5 Pd 0.119 0.750 0.117
6 Pd 0.881 0.250 0.883
7 S 0.180 0.250 0.005
8 S 0.513 0.750 0.362
9 S 0.155 0.750 0.366
10 S 0.845 0.250 0.634
11 S 0.487 0.250 0.638
12 S 0.820 0.750 0.995

=====

Entry from the Open Quantum Materials Database: a relaxed structure of CsAlPdS3 (PBE-GGA).

energy: -4.456 eV per atom
space-group type: Pnma

abc: 15.284 3.752 10.599
angles: 90.00 90.00 90.00
Positions (direct):
1 Al 0.490 0.250 0.134
2 Al 0.990 0.250 0.366
3 Al 0.010 0.750 0.634
4 Al 0.510 0.750 0.866
5 Cs 0.771 0.250 0.043
6 Cs 0.271 0.250 0.457
7 Cs 0.729 0.750 0.543
8 Cs 0.229 0.750 0.957
9 Pd 0.998 0.750 0.090
10 Pd 0.498 0.750 0.410
11 Pd 0.502 0.250 0.590
12 Pd 0.002 0.250 0.910
13 S 0.584 0.750 0.060
14 S 0.070 0.250 0.166
15 S 0.403 0.750 0.229
16 S 0.903 0.750 0.271
17 S 0.570 0.250 0.334
18 S 0.084 0.750 0.440
19 S 0.916 0.250 0.560
20 S 0.430 0.750 0.666
21 S 0.097 0.250 0.729
22 S 0.597 0.250 0.771
23 S 0.930 0.750 0.834
24 S 0.416 0.250 0.940

=====

Entry from the Open Quantum Materials Database: a relaxed structure of CsAlPdSe3 (PBE-GGA).

energy: -4.063 eV per atom
space-group type: P2_1/m

abc: 9.302 3.724 10.912
angles: 90.00 112.56 90.00
Positions (direct):
1 Al 0.157 0.750 0.097
2 Al 0.843 0.250 0.903
3 Cs 0.714 0.750 0.238
4 Cs 0.286 0.250 0.762
5 Pd 0.390 0.250 0.381
6 Pd 0.610 0.750 0.619
7 Se 0.355 0.250 0.131
8 Se 0.993 0.250 0.146
9 Se 0.313 0.750 0.487
10 Se 0.687 0.250 0.513
11 Se 0.007 0.750 0.854
12 Se 0.645 0.750 0.869

=====

Entry from the Open Quantum Materials Database: a relaxed structure of CsAlPdSe3 (PBE-GGA).

energy: -4.074 eV per atom
space-group type: Pnma

abc: 15.811 3.957 10.981
angles: 90.00 90.00 90.00
Positions (direct):
1 Al 0.011 0.250 0.135
2 Al 0.511 0.250 0.365
3 Al 0.489 0.750 0.635
4 Al 0.989 0.750 0.865
5 Cs 0.725 0.250 0.040
6 Cs 0.225 0.250 0.460
7 Cs 0.775 0.750 0.540
8 Cs 0.275 0.750 0.960
9 Pd 0.506 0.750 0.084
10 Pd 0.006 0.750 0.416
11 Pd 0.994 0.250 0.584
12 Pd 0.494 0.250 0.916
13 Se 0.912 0.750 0.062
14 Se 0.432 0.250 0.161
15 Se 0.101 0.750 0.231
16 Se 0.601 0.750 0.269
17 Se 0.932 0.250 0.339
18 Se 0.412 0.750 0.438
19 Se 0.588 0.250 0.562
20 Se 0.068 0.750 0.661
21 Se 0.399 0.250 0.731
22 Se 0.899 0.250 0.769
23 Se 0.568 0.750 0.839
24 Se 0.088 0.250 0.938

=====

Entry from the Open Quantum Materials Database: a relaxed structure of CsAlTe3Pd (PBE-GGA).

energy: -3.725 eV per atom
space-group type: Pnma

abc: 16.392 4.369 11.731
angles: 90.00 90.00 90.00
Positions (direct):
1 Al 0.481 0.250 0.133
2 Al 0.981 0.250 0.367
3 Al 0.019 0.750 0.633
4 Al 0.519 0.750 0.867
5 Cs 0.780 0.250 0.026
6 Cs 0.280 0.250 0.474
7 Cs 0.720 0.750 0.526
8 Cs 0.220 0.750 0.974
9 Pd 0.976 0.750 0.075
10 Pd 0.476 0.750 0.425
11 Pd 0.524 0.250 0.575
12 Pd 0.024 0.250 0.925
13 Te 0.591 0.750 0.073
14 Te 0.049 0.250 0.150
15 Te 0.390 0.750 0.233
16 Te 0.890 0.750 0.267
17 Te 0.549 0.250 0.350
18 Te 0.091 0.750 0.427
19 Te 0.909 0.250 0.573
20 Te 0.451 0.750 0.650
21 Te 0.110 0.250 0.733
22 Te 0.610 0.250 0.767
23 Te 0.951 0.750 0.850
24 Te 0.409 0.250 0.927

=====

Entry from the Open Quantum Materials Database: a relaxed structure of CsAlTe3Pd (PBE-GGA).

energy: -3.728 eV per atom
space-group type: P2_1/m

abc: 9.918 4.381 10.322
angles: 90.00 108.79 90.00
Positions (direct):
1 Al 0.150 0.750 0.118
2 Al 0.850 0.250 0.882
3 Cs 0.696 0.750 0.258
4 Cs 0.304 0.250 0.742
5 Pd 0.448 0.250 0.405
6 Pd 0.552 0.750 0.595
7 Te 0.344 0.250 0.133
8 Te 0.971 0.250 0.157
9 Te 0.297 0.750 0.399
10 Te 0.703 0.250 0.601
11 Te 0.029 0.750 0.843
12 Te 0.656 0.750 0.867

=====

Entry from the Open Quantum Materials Database: a relaxed structure of CsPmAl (PBE-GGA).

magnetic moment: 0.0 μB per cell
energy: -2.367 eV per atom
space-group type: F-43m

abc: 5.501 5.501 5.501
angles: 60.00 60.00 60.00
Positions (direct):
1 Al 0.250 0.250 0.250
2 Cs 0.750 0.750 0.750
3 Pm 0.000 0.000 0.000

=====

Entry from the Open Quantum Materials Database: a relaxed structure of CsPmAl (PBE-GGA).

magnetic moment: 0.0 μB per cell
energy: -2.063 eV per atom
space-group type: F-43m

abc: 5.360 5.360 5.360
angles: 60.00 60.00 60.00
Positions (direct):
1 Al 0.750 0.750 0.750
2 Cs 0.000 0.000 0.000
3 Pm 0.250 0.250 0.250

=====

Entry from the Open Quantum Materials Database: a relaxed structure of CsPrAlSe3 (PBE-GGA).

magnetic moment: 0.3 μB per cell
energy: -4.585 eV per atom
space-group type: Pnma

abc: 11.646 4.739 13.123
angles: 90.00 90.00 90.00
Positions (direct):
1 Al 0.731 0.750 0.221
2 Al 0.231 0.750 0.279
3 Al 0.769 0.250 0.721
4 Al 0.269 0.250 0.779
5 Cs 0.836 0.250 0.002
6 Cs 0.336 0.250 0.498
7 Cs 0.664 0.750 0.502
8 Cs 0.164 0.750 0.998
9 Pr 0.469 0.250 0.164
10 Pr 0.969 0.250 0.336
11 Pr 0.031 0.750 0.664
12 Pr 0.531 0.750 0.836
13 Se 0.605 0.750 0.065
14 Se 0.939 0.750 0.189
15 Se 0.204 0.250 0.211
16 Se 0.704 0.250 0.289
17 Se 0.439 0.750 0.311
18 Se 0.105 0.750 0.435
19 Se 0.895 0.250 0.565
20 Se 0.561 0.250 0.689
21 Se 0.296 0.750 0.711
22 Se 0.796 0.750 0.789
23 Se 0.061 0.250 0.811
24 Se 0.395 0.250 0.935

=====

Entry from the Open Quantum Materials Database: a relaxed structure of CsPrAlSe3 (PBE-GGA).

magnetic moment: 0.8 μB per cell
energy: -4.600 eV per atom
space-group type: Cmcm

abc: 8.254 8.254 11.571
angles: 90.00 90.00 148.76
Positions (direct):
1 Al 0.531 0.469 0.250
2 Al 0.469 0.531 0.750
3 Cs 0.262 0.738 0.250
4 Cs 0.738 0.262 0.750
5 Pr 0.000 0.000 0.000
6 Pr 0.000 0.000 0.500
7 Se 0.620 0.380 0.077
8 Se 0.951 0.049 0.250
9 Se 0.620 0.380 0.423
10 Se 0.380 0.620 0.577
11 Se 0.049 0.951 0.750
12 Se 0.380 0.620 0.923

=====

Entry from the Open Quantum Materials Database: a relaxed structure of CsPrAlTe3 (PBE-GGA).

magnetic moment: 0.0 μB per cell
energy: -4.105 eV per atom
space-group type: Pnma

abc: 12.422 5.144 13.865
angles: 90.00 90.00 90.00
Positions (direct):
1 Al 0.768 0.250 0.222
2 Al 0.268 0.250 0.278
3 Al 0.732 0.750 0.722
4 Al 0.232 0.750 0.778
5 Cs 0.675 0.750 0.005
6 Cs 0.175 0.750 0.495
7 Cs 0.825 0.250 0.505
8 Cs 0.325 0.250 0.995
9 Pr 0.030 0.750 0.170
10 Pr 0.530 0.750 0.330
11 Pr 0.470 0.250 0.670
12 Pr 0.970 0.250 0.830
13 Te 0.903 0.250 0.063
14 Te 0.556 0.250 0.183
15 Te 0.294 0.750 0.208
16 Te 0.794 0.750 0.292
17 Te 0.056 0.250 0.317
18 Te 0.403 0.250 0.437
19 Te 0.597 0.750 0.563
20 Te 0.944 0.750 0.683
21 Te 0.206 0.250 0.708
22 Te 0.706 0.250 0.792
23 Te 0.444 0.750 0.817
24 Te 0.097 0.750 0.937

=====

Entry from the Open Quantum Materials Database: a relaxed structure of CsPrAlTe3 (PBE-GGA).

magnetic moment: 0.2 μB per cell
energy: -4.113 eV per atom
space-group type: Cmcm

abc: 8.599 8.599 12.189
angles: 90.00 90.00 146.71
Positions (direct):
1 Al 0.478 0.522 0.250
2 Al 0.522 0.478 0.750
3 Cs 0.744 0.256 0.250
4 Cs 0.256 0.744 0.750
5 Pr 0.000 0.000 0.000
6 Pr 0.000 0.000 0.500
7 Te 0.380 0.620 0.070
8 Te 0.056 0.944 0.250
9 Te 0.380 0.620 0.430
10 Te 0.620 0.380 0.570
11 Te 0.944 0.056 0.750
12 Te 0.620 0.380 0.930

=====

Entry from the Open Quantum Materials Database: a relaxed structure of Cs6Al2Pt (PBE-GGA).

magnetic moment: 0.0 μB per cell
energy: -1.790 eV per atom
space-group type: P-62m

abc: 10.496 10.496 4.987
angles: 90.00 90.00 120.00
Positions (direct):
1 Al 0.667 0.333 0.500
2 Al 0.333 0.667 0.500
3 Cs 0.608 0.000 0.000
4 Cs 0.392 0.392 0.000
5 Cs 0.000 0.608 0.000
6 Cs 0.234 0.000 0.500
7 Cs 0.000 0.234 0.500
8 Cs 0.766 0.766 0.500
9 Pt 0.000 0.000 0.000

=====

Entry from the Open Quantum Materials Database: a relaxed structure of CsSmAlSe3 (PBE-GGA).

magnetic moment: 0.2 μB per cell
energy: -4.550 eV per atom
space-group type: Pnma

abc: 11.582 4.733 13.021
angles: 90.00 90.00 90.00
Positions (direct):
1 Al 0.771 0.750 0.221
2 Al 0.271 0.750 0.279
3 Al 0.729 0.250 0.721
4 Al 0.229 0.250 0.779
5 Cs 0.666 0.250 0.002
6 Cs 0.166 0.250 0.498
7 Cs 0.834 0.750 0.502
8 Cs 0.334 0.750 0.998
9 Se 0.902 0.750 0.065
10 Se 0.560 0.750 0.189
11 Se 0.295 0.250 0.212
12 Se 0.795 0.250 0.288
13 Se 0.060 0.750 0.311
14 Se 0.402 0.750 0.435
15 Se 0.598 0.250 0.565
16 Se 0.940 0.250 0.689
17 Se 0.205 0.750 0.712
18 Se 0.705 0.750 0.788
19 Se 0.440 0.250 0.811
20 Se 0.098 0.250 0.935
21 Sm 0.031 0.250 0.165
22 Sm 0.531 0.250 0.335
23 Sm 0.469 0.750 0.665
24 Sm 0.969 0.750 0.835

=====

Entry from the Open Quantum Materials Database: a relaxed structure of CsSmAlSe3 (PBE-GGA).

magnetic moment: 0.9 μB per cell
energy: -4.589 eV per atom
space-group type: Cmcm

abc: 8.268 8.268 11.317
angles: 90.00 90.00 149.18
Positions (direct):
1 Al 0.969 0.031 0.250
2 Al 0.031 0.969 0.750
3 Cs 0.239 0.761 0.250
4 Cs 0.761 0.239 0.750
5 Se 0.882 0.118 0.073
6 Se 0.550 0.450 0.250
7 Se 0.882 0.118 0.427
8 Se 0.118 0.882 0.573
9 Se 0.450 0.550 0.750
10 Se 0.118 0.882 0.927
11 Sm 0.500 0.500 0.000
12 Sm 0.500 0.500 0.500

=====

Entry from the Open Quantum Materials Database: a relaxed structure of CsTbAlSe3 (PBE-GGA).

magnetic moment: 0.9 μB per cell
energy: -4.568 eV per atom
space-group type: Cmcm

abc: 8.272 8.272 11.106
angles: 90.00 90.00 149.48
Positions (direct):
1 Al 0.970 0.030 0.250
2 Al 0.030 0.970 0.750
3 Cs 0.239 0.761 0.250
4 Cs 0.761 0.239 0.750
5 Se 0.883 0.117 0.069
6 Se 0.550 0.450 0.250
7 Se 0.883 0.117 0.431
8 Se 0.117 0.883 0.569
9 Se 0.450 0.550 0.750
10 Se 0.117 0.883 0.931
11 Tb 0.500 0.500 0.000
12 Tb 0.500 0.500 0.500